The following is a PBE-GGA calculation of an optimized crystal structure of SrMg2Cu, from Alexandria via LeMat-Bulk.

The space group is P4/mmm (No. 123) and the conventional cell measures 3.423, 3.423 and 8.399 Å, with angles of 90.00, 90.00 and 90.00 degrees. The inequivalent atoms are Sr at (0.000, 0.000, 0.000), Mg at (0.500, 0.500, 0.325) and Cu at (0.000, 0.000, 0.500).

The theoretical density comes out at 3.37 Mg/m³. The total magnetic moment comes out at 0.00 μB per cell. Its calculated formation energy is 0.0258 eV/atom.

The following is a PBE-GGA calculation of an optimized crystal structure of Rb2Hf3PbS8, from Alexandria via LeMat-Bulk.

The space group is R3m (No. 160, hexagonal axes) and the conventional cell measures 7.5835, 7.5835 and 24.5070 Å, with angles of 90.00, 90.00 and 120.00 degrees. The inequivalent atoms are Rb at (0.0000, 0.0000, 0.0000), Rb at (0.0000, 0.0000, 0.3507), Hf at (0.0067, 0.5034, 0.8585), Pb at (0.0000, 0.0000, 0.7495), S at (0.0000, 0.0000, 0.1314), S at (0.0000, 0.0000, 0.5802), S at (0.0325, 0.5163, 0.1289) and S at (0.1740, 0.3479, 0.9109).

The theoretical density comes out at 4.78 Mg/m³. The total magnetic moment comes out at 0.00 μB per cell. The calculation puts the final energy at -262.2 eV per cell.

The following is a PBE-GGA calculation of an optimized crystal structure of HfGeS2N, from Alexandria via LeMat-Bulk.

The space group is P4/mmm (No. 123) and the conventional cell measures 4.758, 4.758 and 3.574 Å, with angles of 90.00, 90.00 and 90.00 degrees. The inequivalent atoms are Hf at (0.000, 0.000, 0.000), Ge at (0.500, 0.500, 0.500), S at (0.000, 0.500, 0.500) and N at (0.500, 0.500, 0.000).

The theoretical density comes out at 6.76 Mg/m³. The energy above the most stable polymorph in this dataset is 40.2 kJ per mole of atoms. The total magnetic moment comes out at 0.00 μB per cell.

The following is a PBE-GGA calculation of an optimized crystal structure of ThScCo2, from Alexandria via LeMat-Bulk.

The space group is Amm2 (No. 38) and the conventional cell measures 3.873, 3.708 and 10.185 Å, with angles of 90.00, 90.00 and 90.00 degrees. The inequivalent atoms are Th at (0.000, 0.000, 0.000), Sc at (0.500, 0.000, 0.717), Co at (0.000, 0.000, 0.272) and Co at (0.500, 0.000, 0.431).

The theoretical density comes out at 8.96 Mg/m³. The energy above the most stable polymorph in this dataset is 0.0 kJ per mole of atoms. The total magnetic moment comes out at 0.00 μB per cell. Its calculated formation energy is -0.3046 eV/atom.

The following is a PBE-GGA calculation of an optimized crystal structure of HfNO, from Alexandria via LeMat-Bulk.

The space group is P4/nmm (No. 129, origin choice 2) and the conventional cell measures 3.533, 3.533 and 5.403 Å, with angles of 90.00, 90.00 and 90.00 degrees. The inequivalent atoms are Hf at (0.250, 0.250, 0.234), N at (0.250, 0.750, 0.500) and O at (0.250, 0.750, 0.000).

The theoretical density comes out at 10.27 Mg/m³. The total magnetic moment comes out at 0.00 μB per cell. The calculation puts the final energy at -58.0 eV per cell.

The following is a PBE-GGA calculation of an optimized crystal structure of Pm2ScSb3, from Alexandria via LeMat-Bulk.

The space group is C2/m (No. 12) and the conventional cell measures 7.605, 13.186 and 7.595 Å, with angles of 90.00, 109.61 and 90.00 degrees. The inequivalent atoms are Pm at (0.000, 0.000, 0.000), Pm at (0.000, 0.162, 0.500), Pm at (0.000, 0.500, 0.500), Sc at (0.000, 0.332, 0.000), Sb at (0.232, 0.500, 0.232) and Sb at (0.248, 0.328, 0.763).

The theoretical density comes out at 6.48 Mg/m³. The total magnetic moment comes out at 0.00 μB per cell. The calculation puts the final energy at -138.7 eV per cell.

The following is a PBE-GGA calculation of an optimized crystal structure of BiPPb, from Alexandria via LeMat-Bulk.

The space group is Cmc2_1 (No. 36) and the conventional cell measures 3.880, 15.997 and 6.007 Å, with angles of 90.00, 90.00 and 90.00 degrees. The inequivalent atoms are Bi at (0.000, 0.058, 0.000), P at (0.000, 0.178, 0.706) and Pb at (0.000, 0.337, 0.879).

The theoretical density comes out at 7.97 Mg/m³. The energy above the most stable polymorph in this dataset is 5.1 kJ per mole of atoms. The total magnetic moment comes out at 0.00 μB per cell. Its calculated formation energy is 0.2059 eV/atom.

The following is a PBE-GGA calculation of an optimized crystal structure of NbCl5, from Alexandria via LeMat-Bulk.

The space group is C2/m (No. 12) and the conventional cell measures 20.200, 18.940 and 6.541 Å, with angles of 90.00, 90.83 and 90.00 degrees. The inequivalent atoms are Nb at (0.000, 0.107, 0.000), Nb at (0.167, 0.393, 0.472), Cl at (0.047, 0.000, 0.202), Cl at (0.052, 0.182, 0.224), Cl at (0.074, 0.405, 0.257), Cl at (0.093, 0.095, 0.796), Cl at (0.114, 0.318, 0.691), Cl at (0.119, 0.500, 0.669), Cl at (0.214, 0.500, 0.276), Cl at (0.219, 0.318, 0.254) and Cl at (0.241, 0.095, 0.313).

The theoretical density comes out at 2.15 Mg/m³. The total magnetic moment comes out at 0.00 μB per cell. The calculation puts the final energy at -320.7 eV per cell.

The following is a PBE-GGA calculation of an optimized crystal structure of SiRuNF2, from Alexandria via LeMat-Bulk.

The space group is P4/mmm (No. 123) and the conventional cell measures 4.241, 4.241 and 3.243 Å, with angles of 90.00, 90.00 and 90.00 degrees. The inequivalent atoms are Si at (0.000, 0.000, 0.000), Ru at (0.500, 0.500, 0.500), N at (0.000, 0.000, 0.500) and F at (0.000, 0.500, 0.000).

The theoretical density comes out at 5.16 Mg/m³. The energy above the most stable polymorph in this dataset is 0.0 kJ per mole of atoms. The total magnetic moment comes out at 3.06 μB per cell.

The following is a PBE-GGA calculation of an optimized crystal structure of Rb2PdPt, from Alexandria via LeMat-Bulk.

The space group is Fm-3m (No. 225) and the conventional cell measures 7.806, 7.806 and 7.806 Å, with angles of 90.00, 90.00 and 90.00 degrees. The inequivalent atoms are Rb at (0.250, 0.250, 0.250), Pd at (0.000, 0.000, 0.000) and Pt at (0.000, 0.000, 0.500).

The theoretical density comes out at 6.60 Mg/m³. The energy above the most stable polymorph in this dataset is 0.0 kJ per mole of atoms. The total magnetic moment comes out at 0.00 μB per cell. Its calculated formation energy is 0.5179 eV/atom.

The following is a PBE-GGA calculation of an optimized crystal structure of K2Te2Pb, from Alexandria via LeMat-Bulk.

The space group is I4/mmm (No. 139) and the conventional cell measures 6.245, 6.245 and 9.857 Å, with angles of 90.00, 90.00 and 90.00 degrees. The inequivalent atoms are K at (0.000, 0.000, 0.150), Te at (0.000, 0.500, 0.250) and Pb at (0.000, 0.000, 0.500).

The theoretical density comes out at 4.67 Mg/m³. The energy above the most stable polymorph in this dataset is 47.0 kJ per mole of atoms. The total magnetic moment comes out at 0.00 μB per cell.

The following is a PBE-GGA calculation of an optimized crystal structure of TmTaGa6, from Alexandria via LeMat-Bulk.

The space group is C2/m (No. 12) and the conventional cell measures 7.485, 8.453 and 5.986 Å, with angles of 90.00, 107.90 and 90.00 degrees. The inequivalent atoms are Tm at (0.000, 0.000, 0.000), Ta at (0.000, 0.000, 0.500), Ga at (0.164, 0.500, 0.522) and Ga at (0.216, 0.230, 0.765).

The theoretical density comes out at 7.08 Mg/m³. The total magnetic moment comes out at 0.00 μB per cell. Its calculated formation energy is 0.0463 eV/atom.

Question: Among the records above, which one has the highest total magnetic moment?
Answer: SiRuNF2